# 1
Material: CrAgP2
Method: DFT, PBE
State: relaxed

Calculated values
calculated formation energy: 0.592 eV per atom
magnetic moment: 0.783 μB per atom

a = 4.4474 Å, b = 4.4474 Å, c = 4.4474 Å
α = 60.00°, β = 60.00°, γ = 60.00°
Closest atoms and distances in Å follow each position.
Sites, in units of the cell vectors:
Cr 0.0000 0.0000 0.0000  4 P 2.72, 4 Ag 2.72
Ag 0.2500 0.2500 0.2500  4 P 2.72, 4 Cr 2.72
P 0.5000 0.5000 0.5000  4 P 2.72, 4 Ag 2.72
P 0.7500 0.7500 0.7500  4 P 2.72, 4 Cr 2.72

***

# 2
Material: CrPOsCl2
Method: DFT, PBE
State: relaxed

Calculated values
energy relative to the elements, uncorrected: 1.298 eV per atom
magnetic moment: 0.092 μB per atom

a = 4.2419 Å, b = 4.2419 Å, c = 5.0961 Å
α = 90.00°, β = 90.00°, γ = 90.00°
Closest atoms and distances in Å follow each position.
Sites, in units of the cell vectors:
Cr 0.0000 0.0000 0.0000  4 Cl 2.12
P 0.0000 0.0000 0.5000  2 Cr 2.55
Os 0.5000 0.5000 0.5000  4 P 3.00, 8 Cl 3.32
Cl 0.0000 0.5000 0.0000  2 Cr 2.12
Cl 0.5000 0.0000 0.0000  2 Cr 2.12

***

# 3
Material: VSi3C
Method: DFT, PBE
State: relaxed

Calculated values
energy relative to the elements, uncorrected: 1.748 eV per atom
magnetic moment: 0.348 μB per atom

a = 4.5764 Å, b = 4.5764 Å, c = 4.5764 Å
α = 90.00°, β = 90.00°, γ = 90.00°
Closest atoms and distances in Å follow each position.
Sites, in units of the cell vectors:
V 0.0000 0.0000 0.0000  6 Si 2.29
Si 0.0000 0.0000 0.5000  2 V 2.29
Si 0.0000 0.5000 0.0000  2 V 2.29
Si 0.5000 0.0000 0.0000  2 V 2.29
C 0.5000 0.5000 0.5000  12 Si 3.24

***

# 4
Material: BeMoIr3
Method: DFT, PBE
State: relaxed

Calculated values
calculated formation energy: 0.304 eV per atom
magnetic moment: 0.285 μB per atom

a = 4.1318 Å, b = 4.1318 Å, c = 4.1318 Å
α = 90.00°, β = 90.00°, γ = 90.00°
Closest atoms and distances in Å follow each position.
Sites, in units of the cell vectors:
Be 0.0000 0.0000 0.0000  6 Ir 2.07
Mo 0.5000 0.5000 0.5000  12 Ir 2.92
Ir 0.0000 0.0000 0.5000  2 Be 2.07
Ir 0.0000 0.5000 0.0000  2 Be 2.07
Ir 0.5000 0.0000 0.0000  2 Be 2.07

***

# 5
Material: TlRe5
Method: DFT, PBE
State: relaxed

Calculated values
calculated formation energy: 0.727 eV per atom
magnetic moment: 0.000 μB per atom

a = 5.0953 Å, b = 5.0953 Å, c = 4.7149 Å
α = 90.00°, β = 90.00°, γ = 120.00°
Closest atoms and distances in Å follow each position.
Sites, in units of the cell vectors:
Tl 0.0000 0.0000 0.0000  6 Re 2.94
Re 0.0000 0.5000 0.5000  8 Re 2.55-2.78
Re 0.3333 0.6667 0.0000  9 Re 2.78-2.94, 3 Tl 2.94
Re 0.5000 0.0000 0.5000  8 Re 2.55-2.78
Re 0.5000 0.5000 0.5000  8 Re 2.55-2.78
Re 0.6667 0.3333 0.0000  9 Re 2.78-2.94, 3 Tl 2.94

***

# 6
Material: TbSm3Ho5
Method: DFT, PBE
State: relaxed

Calculated values
calculated formation energy: 0.165 eV per atom
magnetic moment: 0.000 μB per atom

a = 8.8683 Å, b = 8.8683 Å, c = 11.3519 Å
α = 107.76°, β = 107.76°, γ = 44.38°
Closest atoms and distances in Å follow each position.
Sites, in units of the cell vectors:
Tb 0.2271 0.7729 0.7500  1 Ho 3.04, 2 Sm 3.22
Tb 0.7729 0.2271 0.2500  1 Ho 3.04, 2 Sm 3.22
Sm 0.0000 0.0000 0.0000  2 Tb 3.22, 2 Ho 3.56
Sm 0.0000 0.0000 0.5000  2 Tb 3.22, 2 Ho 3.56
Sm 0.1369 0.3881 0.6454  7 Ho 3.34-3.60, 1 Sm 3.60
Sm 0.3881 0.1369 0.1454  7 Ho 3.34-3.60, 1 Sm 3.60
Sm 0.6119 0.8631 0.8546  7 Ho 3.34-3.60, 1 Sm 3.60
Sm 0.8631 0.6119 0.3546  7 Ho 3.34-3.60, 1 Sm 3.60
Ho 0.0544 0.2973 0.8737  1 Ho 3.07, 2 Sm 3.34-3.37
Ho 0.2973 0.0544 0.3737  1 Ho 3.07, 2 Sm 3.34-3.37
Ho 0.3196 0.6804 0.2500  1 Tb 3.04, 2 Ho 3.07
Ho 0.3889 0.3966 0.4547  5 Ho 3.33-3.62, 4 Sm 3.47-3.72, 1 Tb 3.70
Ho 0.3966 0.3889 0.9547  5 Ho 3.33-3.62, 4 Sm 3.47-3.72, 1 Tb 3.70
Ho 0.6034 0.6111 0.0453  5 Ho 3.33-3.62, 4 Sm 3.47-3.72, 1 Tb 3.70
Ho 0.6111 0.6034 0.5453  5 Ho 3.33-3.62, 4 Sm 3.47-3.72, 1 Tb 3.70
Ho 0.6804 0.3196 0.7500  1 Tb 3.04, 2 Ho 3.07
Ho 0.7027 0.9456 0.6263  1 Ho 3.07, 2 Sm 3.34-3.37
Ho 0.9456 0.7027 0.1263  1 Ho 3.07, 2 Sm 3.34-3.37

***

# 7
Material: CaAlCd3
Method: DFT, PBE
State: relaxed

Calculated values
calculated formation energy: 0.788 eV per atom
magnetic moment: 0.000 μB per atom

a = 5.8758 Å, b = 5.8758 Å, c = 5.8758 Å
α = 90.00°, β = 90.00°, γ = 90.00°
Closest atoms and distances in Å follow each position.
Sites, in units of the cell vectors:
Ca 0.0000 0.0000 0.0000  6 Cd 2.94
Al 0.5000 0.5000 0.5000  12 Cd 4.15
Cd 0.0000 0.0000 0.5000  2 Ca 2.94
Cd 0.0000 0.5000 0.0000  2 Ca 2.94
Cd 0.5000 0.0000 0.0000  2 Ca 2.94

***

# 8
Material: DyTh3
Method: DFT, PBE
State: relaxed

Calculated values
calculated formation energy: 0.058 eV per atom
magnetic moment: 0.000 μB per atom

a = 5.0469 Å, b = 5.0469 Å, c = 5.0469 Å
α = 90.00°, β = 90.00°, γ = 90.00°
Closest atoms and distances in Å follow each position.
Sites, in units of the cell vectors:
Dy 0.0000 0.0000 0.0000  12 Th 3.57
Th 0.0000 0.5000 0.5000  8 Th 3.57, 4 Dy 3.57
Th 0.5000 0.0000 0.5000  8 Th 3.57, 4 Dy 3.57
Th 0.5000 0.5000 0.0000  8 Th 3.57, 4 Dy 3.57

***

Energy above the lowest structure with this stoichiometry / meV/atom: 638; 680; 887; 0; 317; 0; 936; 77
Mass density / g cm⁻³: 5.92; 6.23; 2.55; 16.05; 17.79; 8.08; 3.31; 11.09
Final energy / eV per atom: -5.2311; -4.6933; -5.1744; -7.9238; -10.0410; -4.4657; -0.9100; -6.6571